{"formula": "Zn2GaAg", "functional": "GGA-PBE", "state": "relaxed", "delta_e_f_ev_per_atom": 0.005, "dos_ef_per_ev_fu": 0.99, "lattice_angstrom": [[5.0107, -2.3753, 0.0000], [5.0107, 2.3753, 0.0000], [-0.8210, 0.0000, 2.7812]], "species": ["Zn", "Zn", "Ga", "Ag"], "frac_coords": [[0.2462, 0.2462, 0.2458], [0.7538, 0.7538, 0.7542], [0.3203, 0.6797, 0.0000], [0.8141, 0.1859, 0.5000]]}